This record from Alexandria via LeMat-Bulk describes a relaxed LiTbZrPt crystal. The functional is PBE.

Results
V   20.244 A^3/atom
Density of states at the Fermi level   3.9 states/eV/cell
Crystal system   cubic
ΔH_f (0 K)   -0.4771 eV per atom

Lattice parameters (Å, degrees): 4.856 4.856 4.856 60.00 60.00 60.00
Sites, in units of the cell vectors:
Li (0.000, 0.000, 0.000)
Tb (0.250, 0.250, 0.250)
Zr (0.750, 0.750, 0.750)
Pt (0.500, 0.500, 0.500)

This record from Alexandria via LeMat-Bulk describes a relaxed TbNdSb crystal. The functional is PBE.

Results
V   29.191 A^3/atom
Density of states at the Fermi level   6.4 states/eV/cell
Uncorrected formation energy   -2.177 eV per formula unit
Crystal system   orthorhombic

Lattice parameters (Å, degrees): 8.473 8.473 4.898 90.00 90.00 150.13
Sites, in units of the cell vectors:
Tb (0.249, 0.751, 0.750)
Tb (0.751, 0.249, 0.250)
Nd (0.426, 0.574, 0.250)
Nd (0.574, 0.426, 0.750)
Sb (0.104, 0.896, 0.250)
Sb (0.896, 0.104, 0.750)

This record from Alexandria via LeMat-Bulk describes a relaxed Th4BiSb5 crystal. The functional is PBE.

Results
V   33.830 A^3/atom
Density of states at the Fermi level   7.4 states/eV/cell
Uncorrected formation energy   -5.389 eV per formula unit
Crystal system   monoclinic

Lattice parameters (Å, degrees): 8.944 8.944 8.205 102.88 102.88 32.00
Sites, in units of the cell vectors:
Th (0.034, 0.034, 0.246)
Th (0.317, 0.317, 0.239)
Th (0.683, 0.683, 0.761)
Th (0.966, 0.966, 0.754)
Bi (0.500, 0.500, 0.500)
Sb (0.149, 0.149, 0.983)
Sb (0.201, 0.201, 0.508)
Sb (0.500, 0.500, 0.000)
Sb (0.799, 0.799, 0.492)
Sb (0.851, 0.851, 0.017)

This record from Alexandria via LeMat-Bulk describes a relaxed Al4SiW crystal. The functional is PBE.

Results
V   15.169 A^3/atom
Density of states at the Fermi level   3.0 states/eV/cell
Uncorrected formation energy   1.187 eV per formula unit
Crystal system   cubic

Lattice parameters (Å, degrees): 5.049 5.049 5.049 60.00 60.00 60.00
Sites, in units of the cell vectors:
Al (0.376, 0.376, 0.376)
Al (0.376, 0.376, 0.872)
Al (0.376, 0.872, 0.376)
Al (0.872, 0.376, 0.376)
Si (0.000, 0.000, 0.000)
W (0.750, 0.750, 0.750)